# 1
Sc2B2MoRu5 | PBE | relaxed

```
Sc2B2MoRu5
1.0
3.0425 0.0000 0.0000
0.0000 9.4612 0.0000
0.0000 0.0000 9.4612
Ru B Mo Sc
10 4 2 4
direct
0.5000 0.0000 0.5000
0.5000 0.5709 0.7153
0.5000 0.7847 0.9291
0.5000 0.9291 0.2153
0.5000 0.2847 0.5709
0.5000 0.5000 0.0000
0.5000 0.4291 0.2847
0.5000 0.2153 0.0709
0.5000 0.7153 0.4291
0.5000 0.0709 0.7847
0.0000 0.1208 0.6208
0.0000 0.3792 0.1208
0.0000 0.6208 0.8792
0.0000 0.8792 0.3792
0.0000 0.0000 0.0000
0.0000 0.5000 0.5000
0.0000 0.8252 0.6748
0.0000 0.1748 0.3252
0.0000 0.3252 0.8252
0.0000 0.6748 0.1748
```

Summary:
* size of the total moment: 0.00 Bohr magnetons per cell
* calculated volume: 13.6 Å³/atom
* crystal system: tetragonal
* formation enthalpy at 0 K: -0.513 eV/atom
* electronic total energy: -8.836 eV/atom
* SG: No. 127

***

# 2
Ta2B2MoRu5 | PBE | relaxed

```
Ta2B2MoRu5
1.0
-1.4517 -0.8438 2.4350
-1.6517 -8.4854 -3.9250
8.1053 -3.2862 3.6935
Ta Mo Ru B
4 2 10 4
direct
0.0000 0.1773 0.3227
0.0000 0.8227 0.6773
0.0000 0.3227 0.8227
0.0000 0.6773 0.1773
0.0000 0.5000 0.5000
0.0000 0.0000 0.0000
0.5000 0.7196 0.4291
0.5000 0.5000 0.0000
0.5000 0.2196 0.0709
0.5000 0.9291 0.2196
0.5000 0.4291 0.2804
0.5000 0.0000 0.5000
0.5000 0.5709 0.7196
0.5000 0.0709 0.7804
0.5000 0.2804 0.5709
0.5000 0.7804 0.9291
0.0000 0.8788 0.3788
0.0000 0.1212 0.6212
0.0000 0.6212 0.8788
0.0000 0.3788 0.1212
```

Summary:
* size of the total moment: 0.00 Bohr magnetons per cell
* calculated volume: 13.3 Å³/atom
* crystal system: tetragonal
* formation enthalpy at 0 K: -0.399 eV/atom
* electronic total energy: -9.826 eV/atom
* SG: No. 127

***

# 3
Tm2B2MoRu5 | PBE | relaxed

```
Tm2B2MoRu5
1.0
-2.7190 1.3817 -0.5030
-3.8723 -8.4657 -2.3230
-2.4158 -1.4133 9.1774
B Ru Tm Mo
4 10 4 2
direct
0.0000 0.6200 0.8800
0.0000 0.1200 0.6200
0.0000 0.8800 0.3800
0.0000 0.3800 0.1200
0.5000 0.2843 0.5695
0.5000 0.0695 0.7843
0.5000 0.0000 0.5000
0.5000 0.7157 0.4305
0.5000 0.4305 0.2843
0.5000 0.9305 0.2157
0.5000 0.2157 0.0695
0.5000 0.5000 0.0000
0.5000 0.5695 0.7157
0.5000 0.7843 0.9305
0.0000 0.1755 0.3245
0.0000 0.8245 0.6755
0.0000 0.6755 0.1755
0.0000 0.3245 0.8245
0.0000 0.5000 0.5000
0.0000 0.0000 0.0000
```

Summary:
* size of the total moment: 0.00 Bohr magnetons per cell
* calculated volume: 14.2 Å³/atom
* crystal system: tetragonal
* formation enthalpy at 0 K: -0.466 eV/atom
* electronic total energy: -8.417 eV/atom
* SG: No. 127

***

# 4
BMo2RuW | PBE | relaxed

```
BMo2RuW
1.0
4.1501 0.0000 0.0000
0.0000 4.1871 0.0000
0.0000 0.0000 4.1501
Ru B Mo W
1 1 2 1
direct
0.5000 0.5000 0.5000
0.0000 0.0000 0.0000
0.5000 0.0000 0.0000
0.0000 0.0000 0.5000
0.0000 0.5000 0.0000
```

Summary:
* size of the total moment: 0.00 Bohr magnetons per cell
* calculated volume: 14.4 Å³/atom
* crystal system: tetragonal
* formation enthalpy at 0 K: 0.244 eV/atom
* electronic total energy: -9.870 eV/atom
* SG: No. 123

***

Please write out number 3 again, unchanged.
Tm2B2MoRu5 | PBE | relaxed

```
Tm2B2MoRu5
1.0
-2.7190 1.3817 -0.5030
-3.8723 -8.4657 -2.3230
-2.4158 -1.4133 9.1774
B Ru Tm Mo
4 10 4 2
direct
0.0000 0.6200 0.8800
0.0000 0.1200 0.6200
0.0000 0.8800 0.3800
0.0000 0.3800 0.1200
0.5000 0.2843 0.5695
0.5000 0.0695 0.7843
0.5000 0.0000 0.5000
0.5000 0.7157 0.4305
0.5000 0.4305 0.2843
0.5000 0.9305 0.2157
0.5000 0.2157 0.0695
0.5000 0.5000 0.0000
0.5000 0.5695 0.7157
0.5000 0.7843 0.9305
0.0000 0.1755 0.3245
0.0000 0.8245 0.6755
0.0000 0.6755 0.1755
0.0000 0.3245 0.8245
0.0000 0.5000 0.5000
0.0000 0.0000 0.0000
```

Summary:
* size of the total moment: 0.00 Bohr magnetons per cell
* calculated volume: 14.2 Å³/atom
* crystal system: tetragonal
* formation enthalpy at 0 K: -0.466 eV/atom
* electronic total energy: -8.417 eV/atom
* SG: No. 127